[1]
Sc2Si2MoRu5 | the Alexandria database | PBE | relaxed; total magnetization = 0.00 μB per atom; DFT total energy = -8.649 eV/atom; formation energy from raw total energies = -55.64 kJ per mole of atoms
1.0
-0.800 0.658 -3.012
5.363 -7.608 -3.087
-7.832 -5.847 0.803
Ru Sc Mo Si
10 4 2 4
direct
0.500 0.931 0.204
0.500 0.204 0.069
0.500 0.431 0.296
0.500 0.069 0.796
0.500 0.296 0.569
0.500 0.500 0.000
0.500 0.569 0.704
0.500 0.796 0.931
0.500 0.000 0.500
0.500 0.704 0.431
0.000 0.328 0.828
0.000 0.672 0.172
0.000 0.172 0.328
0.000 0.828 0.672
0.000 0.000 0.000
0.000 0.500 0.500
0.000 0.627 0.873
0.000 0.373 0.127
0.000 0.127 0.627
0.000 0.873 0.373

=====

[2]
SrScMo2Ru | the Alexandria database | PBE | relaxed; total magnetization = 0.14 μB per atom; DFT total energy = -5.715 eV/atom; energy of formation from the pure elements = 200.2 kJ/mol of atoms
1.0
-4.156 1.130 -1.719
-1.851 -4.893 1.260
-1.299 1.565 4.168
Sc Ru Mo Sr
1 1 2 1
direct
0.000 0.000 0.000
0.500 0.500 0.500
0.500 0.000 0.000
0.000 0.000 0.500
0.000 0.500 0.000

=====

[3]
ScTcMoRu | the Alexandria database | PBE | relaxed; total magnetization = 0.00 μB per atom; DFT total energy = -9.463 eV/atom; energy of formation from the pure elements = -25.3 kJ/mol of atoms
1.0
4.458 0.000 0.000
2.229 3.861 0.000
2.229 1.287 3.640
Mo Sc Ru Tc
1 1 1 1
direct
0.500 0.500 0.500
0.000 0.000 0.000
0.750 0.750 0.750
0.250 0.250 0.250

=====

[4]
ScUMoRu | the Alexandria database | PBE | relaxed; total magnetization = 0.23 μB per atom; DFT total energy = -9.526 eV/atom; energy of formation from the pure elements = -9.1 kJ/mol of atoms
1.0
4.694 0.000 0.000
2.347 4.065 0.000
2.347 1.355 3.832
Mo U Ru Sc
1 1 1 1
direct
0.500 0.500 0.500
0.750 0.750 0.750
0.000 0.000 0.000
0.250 0.250 0.250

=====

[5]
ScVMoRu | the Alexandria database | PBE | relaxed; total magnetization = 0.00 μB per atom; DFT total energy = -9.000 eV/atom; energy of formation from the pure elements = -10.7 kJ/mol of atoms
1.0
-3.330 -2.079 -2.069
-1.654 -3.759 1.680
-4.056 -0.030 1.799
Ru Mo V Sc
1 1 1 1
direct
0.750 0.750 0.750
0.250 0.250 0.250
0.500 0.500 0.500
0.000 0.000 0.000

=====

[6]
ScMoRuW | the Alexandria database | PBE | relaxed; total magnetization = 0.00 μB per atom; DFT total energy = -9.989 eV/atom; energy of formation from the pure elements = -13.6 kJ/mol of atoms
1.0
-1.959 -1.506 3.755
-3.964 -2.107 -0.222
-0.245 -4.418 0.792
Sc Mo Ru W
1 1 1 1
direct
0.750 0.750 0.750
0.000 0.000 0.000
0.500 0.500 0.500
0.250 0.250 0.250

=====

[7]
MoRu3Se | the Alexandria database | PBE | relaxed; total magnetization = 0.38 μB per atom; polymorph energy (0 for the lowest one) = 443 meV/atom; DFT total energy = -6.739 eV/atom; formation energy from raw total energies = 162.98 kJ per mole of atoms
1.0
-4.162 -0.451 -2.088
1.137 -4.339 -1.331
-1.808 -1.692 3.969
Ru Se Mo
3 1 1
direct
0.000 0.000 0.500
0.500 0.000 0.000
0.000 0.500 0.000
0.500 0.500 0.500
0.000 0.000 0.000

=====

[8]
MoRu2Se | the Alexandria database | PBE | relaxed; total magnetization = 0.00 μB per atom; DFT total energy = -8.022 eV/atom; formation energy from raw total energies = 18.76 kJ per mole of atoms
1.0
-0.583 -0.017 4.043
-0.247 -2.897 -0.048
4.847 -2.004 0.690
Ru Se Mo
2 1 1
direct
0.000 0.379 0.491
0.000 0.121 0.009
0.500 0.250 0.250
0.500 0.750 0.750

=====

[9]
MoRuSe2 | the Alexandria database | PBE | relaxed; total magnetization = 0.00 μB per atom; polymorph energy (0 for the lowest one) = 259 meV/atom; DFT total energy = -6.679 eV/atom; formation energy from raw total energies = 8.66 kJ per mole of atoms
1.0
1.814 0.000 8.293
-0.907 1.571 8.293
-0.907 -1.571 8.293
Se Mo Ru
2 1 1
direct
0.905 0.905 0.905
0.095 0.095 0.095
0.500 0.500 0.500
0.000 0.000 0.000

=====

[10]
MoRu2Se | the Alexandria database | PBE | relaxed; total magnetization = 0.00 μB per atom; DFT total energy = -7.852 eV/atom; formation energy from raw total energies = 35.20 kJ per mole of atoms
1.0
4.385 0.000 0.000
2.193 3.798 0.000
2.193 1.266 3.581
Ru Se Mo
2 1 1
direct
0.250 0.250 0.250
0.000 0.000 0.000
0.750 0.750 0.750
0.500 0.500 0.500

=====

[11]
Mo2RuSe | the Alexandria database | PBE | relaxed; total magnetization = 0.00 μB per atom; DFT total energy = -8.495 eV/atom; formation energy from raw total energies = 10.64 kJ per mole of atoms
1.0
3.103 0.000 0.000
0.000 3.103 0.000
0.000 0.000 6.483
Mo Ru Se
2 1 1
direct
0.000 0.000 0.987
0.500 0.500 0.259
0.000 0.000 0.484
0.500 0.500 0.769

=====

[12]
Mo3RuSe | the Alexandria database | PBE | relaxed; total magnetization = 0.00 μB per atom; polymorph energy (0 for the lowest one) = 239 meV/atom; DFT total energy = -7.422 eV/atom; formation energy from raw total energies = 157.16 kJ per mole of atoms
1.0
-4.199 -1.985 -0.803
1.009 -3.394 3.111
-1.888 2.600 3.448
Mo Se Ru
3 1 1
direct
0.000 0.500 0.000
0.000 0.000 0.500
0.500 0.000 0.000
0.500 0.500 0.500
0.000 0.000 0.000